No. 1
Entry from Alexandria via LeMat-Bulk: a geometry-optimized PmHo6Th3 structure (PBE).

Output
* N(E_F): 30.8 states/eV per cell
* DFT total energy: -53.744 eV/f.u.
* V: 32.09 Å³ per atom
* DFT formation energy: 0.073 eV per atom
* crystal system: monoclinic
* magnetization: 0.000 μB/atom

Cell: 3.5077 12.9718 14.3233 Å, 100.03 90.00 90.00°
Last column: nearest neighbours and their distance in Å.
Fractional positions:
Ho: 0.7500 0.8070 0.0730  5 Th 3.43-3.55, 5 Ho 3.51-3.57, 2 Pm 3.67
Ho: 0.7500 0.4979 0.6893  4 Th 3.30-3.46, 7 Ho 3.46-3.61
Ho: 0.7500 0.7288 0.2970  7 Ho 3.46-3.75, 3 Th 3.52-3.63, 2 Pm 3.57
Ho: 0.2500 0.2206 0.2853  3 Th 3.29-3.49, 1 Pm 3.32, 5 Ho 3.51-3.61
Ho: 0.2500 0.8735 0.5124  8 Ho 3.51-3.79, 2 Th 3.68, 3 Pm 3.79-3.82
Ho: 0.2500 0.5021 0.3107  4 Th 3.30-3.46, 7 Ho 3.46-3.61
Ho: 0.2500 0.1930 0.9270  5 Th 3.43-3.55, 5 Ho 3.51-3.57, 2 Pm 3.67
Ho: 0.2500 0.6529 0.8809  4 Th 3.41-3.52, 8 Ho 3.51-3.58
Ho: 0.7500 0.7794 0.7147  3 Th 3.29-3.49, 1 Pm 3.32, 5 Ho 3.51-3.61
Ho: 0.2500 0.2712 0.7030  7 Ho 3.46-3.75, 3 Th 3.52-3.63, 2 Pm 3.57
Ho: 0.7500 0.1265 0.4876  8 Ho 3.51-3.79, 2 Th 3.68, 3 Pm 3.79-3.82
Ho: 0.7500 0.3471 0.1191  4 Th 3.41-3.52, 8 Ho 3.51-3.58
Th: 0.7500 0.4229 0.9027  8 Ho 3.37-3.63, 4 Th 3.51-3.59
Th: 0.2500 0.5771 0.0973  8 Ho 3.37-3.63, 4 Th 3.51-3.59
Th: 0.7500 0.0748 0.0966  6 Ho 3.43-3.55, 4 Th 3.51-3.56, 2 Pm 3.60
Th: 0.7500 0.6231 0.5074  7 Ho 3.29-3.68, 4 Th 3.51-3.62
Th: 0.2500 0.9252 0.9034  6 Ho 3.43-3.55, 4 Th 3.51-3.56, 2 Pm 3.60
Th: 0.2500 0.3769 0.4926  7 Ho 3.29-3.68, 4 Th 3.51-3.62
Pm: 0.7500 0.0367 0.7253  5 Ho 3.32-3.67, 2 Pm 3.51, 2 Th 3.60
Pm: 0.2500 0.9633 0.2747  5 Ho 3.32-3.67, 2 Pm 3.51, 2 Th 3.60

No. 2
Entry from Alexandria via LeMat-Bulk: a geometry-optimized Pm2HoTh structure (PBE).

Output
* N(E_F): 4.8 states/eV per cell
* DFT total energy: -21.307 eV/f.u.
* V: 32.90 Å³ per atom
* DFT formation energy: 0.048 eV per atom
* crystal system: tetragonal
* magnetization: 0.000 μB/atom

Cell: 5.1006 5.0792 5.0792 Å, 90.00 90.00 90.00°
Last column: nearest neighbours and their distance in Å.
Fractional positions:
Pm: 0.0000 0.0000 0.5000  4 Pm 3.59, 4 Ho 3.60, 4 Th 3.60
Pm: 0.0000 0.5000 0.0000  4 Pm 3.59, 4 Th 3.60, 4 Ho 3.60
Ho: 0.5000 0.5000 0.5000  4 Th 3.59, 8 Pm 3.60
Th: 0.5000 0.0000 0.0000  4 Ho 3.59, 8 Pm 3.60

No. 3
Entry from Alexandria via LeMat-Bulk: a geometry-optimized Pm2Ho3Th structure (PBE).

Output
* N(E_F): 16.7 states/eV per cell
* DFT total energy: -30.423 eV/f.u.
* V: 32.41 Å³ per atom
* DFT formation energy: 0.039 eV per atom
* crystal system: monoclinic
* magnetization: 0.000 μB/atom

Cell: 5.0616 6.2022 18.5873 Å, 48.17 82.17 65.92°
Last column: nearest neighbours and their distance in Å.
Fractional positions:
Th: 0.3771 0.5370 0.7089  7 Ho 3.54-3.61, 5 Pm 3.54-3.59
Th: 0.6229 0.4630 0.2911  7 Ho 3.54-3.61, 5 Pm 3.54-3.59
Ho: 0.6235 0.7961 0.9569  1 Th 3.54, 6 Ho 3.57-3.62, 5 Pm 3.57-3.62
Ho: 0.8771 0.0365 0.2093  5 Pm 3.53-3.59, 4 Ho 3.55-3.62, 3 Th 3.55-3.61
Ho: 0.1271 0.2892 0.4567  5 Pm 3.52-3.62, 4 Ho 3.55-3.66, 3 Th 3.55-3.60
Ho: 0.3765 0.2039 0.0431  1 Th 3.54, 6 Ho 3.57-3.62, 5 Pm 3.57-3.62
Ho: 0.8729 0.7108 0.5433  5 Pm 3.52-3.62, 4 Ho 3.55-3.66, 3 Th 3.55-3.60
Ho: 0.1229 0.9635 0.7907  5 Pm 3.53-3.59, 4 Ho 3.55-3.62, 3 Th 3.55-3.61
Pm: 0.3715 0.8837 0.3734  2 Pm 3.51-3.64, 7 Ho 3.52-3.62, 3 Th 3.57-3.59
Pm: 0.6285 0.1163 0.6266  2 Pm 3.51-3.64, 7 Ho 3.52-3.62, 3 Th 3.57-3.59
Pm: 0.8748 0.3788 0.8717  2 Pm 3.51-3.65, 8 Ho 3.53-3.62, 2 Th 3.54
Pm: 0.1252 0.6212 0.1283  2 Pm 3.51-3.65, 8 Ho 3.53-3.62, 2 Th 3.54

No. 4
Entry from Alexandria via LeMat-Bulk: a geometry-optimized PmHo3Th structure (PBE).

Output
* N(E_F): 17.5 states/eV per cell
* DFT total energy: -25.706 eV/f.u.
* V: 32.41 Å³ per atom
* DFT formation energy: 0.040 eV per atom
* crystal system: monoclinic
* magnetization: 0.000 μB/atom

Cell: 6.2526 5.7268 9.5739 Å, 90.00 70.97 90.00°
Last column: nearest neighbours and their distance in Å.
Fractional positions:
Ho: 0.2629 0.2500 0.3030  6 Ho 3.51-3.67, 4 Th 3.54-3.67, 2 Pm 3.59-3.62
Ho: 0.7371 0.7500 0.6970  6 Ho 3.51-3.67, 4 Th 3.54-3.67, 2 Pm 3.59-3.62
Ho: 0.5290 0.7500 0.1021  7 Ho 3.55-3.67, 4 Pm 3.56-3.66, 1 Th 3.60
Ho: 0.9358 0.7500 0.3055  5 Ho 3.51-3.67, 4 Th 3.54-3.63, 3 Pm 3.56-3.71
Ho: 0.4710 0.2500 0.8979  7 Ho 3.55-3.67, 4 Pm 3.56-3.66, 1 Th 3.60
Ho: 0.0642 0.2500 0.6945  5 Ho 3.51-3.67, 4 Th 3.54-3.63, 3 Pm 3.56-3.71
Pm: 0.1346 0.7500 0.8955  9 Ho 3.56-3.71, 2 Pm 3.58, 1 Th 3.59
Pm: 0.8654 0.2500 0.1045  9 Ho 3.56-3.71, 2 Pm 3.58, 1 Th 3.59
Th: 0.6524 0.2500 0.5006  2 Th 3.44, 9 Ho 3.54-3.67, 1 Pm 3.59
Th: 0.3476 0.7500 0.4994  2 Th 3.44, 9 Ho 3.54-3.67, 1 Pm 3.59

Question: Which formula does entry 4 have?
Answer: PmHo3Th

Question: What is the DFT formation energy in the third record?
Answer: 0.039 eV per atom

Question: What is the N(E_F) in the third record?
Answer: 16.7 states/eV per cell